1.
{
  "formula": "LiThCd6",
  "functional": "PBE",
  "state": "relaxed",
  "lattice_angstrom": [[2.447, 1.413, 8.772], [-2.447, 1.413, 8.772], [0.000, -2.826, 8.772]],
  "species": ["Li", "Th", "Cd", "Cd", "Cd", "Cd", "Cd", "Cd"],
  "frac_coords": [[0.000, 0.000, 0.000], [0.500, 0.500, 0.500], [0.108, 0.108, 0.108], [0.251, 0.251, 0.251], [0.368, 0.368, 0.368], [0.632, 0.632, 0.632], [0.749, 0.749, 0.749], [0.892, 0.892, 0.892]],
  "space_group": "R-3m, No. 166",
  "e_form_ev_per_atom": -0.143,
  "dos_ef_per_ev_cell": 2.73
}

---

2.
{
  "formula": "InHgBr3",
  "functional": "PBE",
  "state": "relaxed",
  "lattice_angstrom": [[9.963, 0.000, 0.000], [0.000, 7.231, 0.000], [-7.464, 0.000, 11.674]],
  "species": ["In", "In", "In", "In", "Hg", "Hg", "Hg", "Hg", "Br", "Br", "Br", "Br", "Br", "Br", "Br", "Br", "Br", "Br", "Br", "Br"],
  "frac_coords": [[0.213, 0.071, 0.035], [0.213, 0.429, 0.535], [0.787, 0.571, 0.465], [0.787, 0.929, 0.965], [0.334, 0.086, 0.476], [0.334, 0.414, 0.976], [0.666, 0.586, 0.024], [0.666, 0.914, 0.524], [0.070, 0.727, 0.579], [0.070, 0.773, 0.079], [0.273, 0.615, 0.410], [0.273, 0.885, 0.910], [0.387, 0.169, 0.240], [0.387, 0.331, 0.740], [0.613, 0.669, 0.260], [0.613, 0.831, 0.760], [0.727, 0.115, 0.090], [0.727, 0.385, 0.590], [0.930, 0.227, 0.921], [0.930, 0.273, 0.421]],
  "space_group": "P2_1/c, No. 14",
  "e_form_raw_ev_per_fu": -2.9,
  "dos_ef_per_ev_cell": 0.00,
  "e_above_lowest_polymorph_ev_per_fu": 0.00
}

---

3.
{
  "formula": "CaMg2Cd5",
  "functional": "PBE",
  "state": "relaxed",
  "lattice_angstrom": [[-2.354, 2.354, 8.459], [2.354, -2.354, 8.459], [2.354, 2.354, -8.459]],
  "species": ["Ca", "Mg", "Mg", "Cd", "Cd", "Cd", "Cd", "Cd"],
  "frac_coords": [[0.000, 0.000, 0.000], [0.248, 0.248, 0.000], [0.752, 0.752, 0.000], [0.134, 0.634, 0.500], [0.366, 0.866, 0.500], [0.500, 0.500, 0.000], [0.634, 0.134, 0.500], [0.866, 0.366, 0.500]],
  "space_group": "I4/mmm, No. 139",
  "e_form_ev_per_atom": -0.175,
  "dos_ef_per_ev_cell": 1.82,
  "e_above_lowest_polymorph_ev_per_fu": 0.00
}

---

4.
{
  "formula": "Rb2Mg2Cd",
  "functional": "PBE",
  "state": "relaxed",
  "lattice_angstrom": [[7.963, 0.000, 0.000], [0.000, 7.963, 0.000], [0.000, 0.000, 6.379]],
  "species": ["Rb", "Rb", "Rb", "Rb", "Mg", "Mg", "Mg", "Mg", "Cd", "Cd"],
  "frac_coords": [[0.180, 0.320, 0.000], [0.320, 0.820, 0.000], [0.680, 0.180, 0.000], [0.820, 0.680, 0.000], [0.140, 0.640, 0.500], [0.360, 0.140, 0.500], [0.640, 0.860, 0.500], [0.860, 0.360, 0.500], [0.000, 0.000, 0.500], [0.500, 0.500, 0.500]],
  "space_group": "P4/mbm, No. 127",
  "e_form_ev_per_atom": 0.158,
  "dos_ef_per_ev_cell": 6.72
}

---

5.
{
  "formula": "TmInCuPd",
  "functional": "PBE",
  "state": "relaxed",
  "lattice_angstrom": [[0.000, 3.345, 3.345], [3.345, 0.000, 3.345], [3.345, 3.345, 0.000]],
  "species": ["Tm", "In", "Cu", "Pd"],
  "frac_coords": [[0.000, 0.000, 0.000], [0.500, 0.500, 0.500], [0.750, 0.750, 0.750], [0.250, 0.250, 0.250]],
  "space_group": "F-43m, No. 216",
  "e_form_ev_per_atom": -0.560,
  "dos_ef_per_ev_cell": 2.66
}

---

6.
{
  "formula": "Y2ThSc5",
  "functional": "PBE",
  "state": "relaxed",
  "lattice_angstrom": [[6.706, 0.000, 0.000], [0.000, 13.440, 0.000], [0.000, 0.000, 4.842]],
  "species": ["Y", "Y", "Y", "Y", "Th", "Th", "Sc", "Sc", "Sc", "Sc", "Sc", "Sc", "Sc", "Sc", "Sc", "Sc"],
  "frac_coords": [[0.240, 0.127, 0.000], [0.260, 0.627, 0.000], [0.740, 0.373, 0.000], [0.760, 0.873, 0.000], [0.000, 0.500, 0.500], [0.500, 0.000, 0.500], [0.000, 0.000, 0.500], [0.014, 0.750, 0.500], [0.237, 0.376, 0.000], [0.263, 0.876, 0.000], [0.486, 0.250, 0.500], [0.500, 0.500, 0.500], [0.514, 0.750, 0.500], [0.737, 0.124, 0.000], [0.763, 0.624, 0.000], [0.986, 0.250, 0.500]],
  "space_group": "Pbam, No. 55",
  "e_form_ev_per_atom": 0.054,
  "dos_ef_per_ev_cell": 28.31,
  "e_above_lowest_polymorph_ev_per_fu": 0.21
}

---

7.
{
  "formula": "Zn3Ga12Hg5",
  "functional": "PBE",
  "state": "relaxed",
  "lattice_angstrom": [[-7.783, 7.783, 7.783], [7.783, -7.783, 7.783], [7.783, 7.783, -7.783]],
  "species": ["Zn", "Zn", "Zn", "Zn", "Zn", "Zn", "Zn", "Zn", "Zn", "Zn", "Zn", "Zn", "Ga", "Ga", "Ga", "Ga", "Ga", "Ga", "Ga", "Ga", "Ga", "Ga", "Ga", "Ga", "Ga", "Ga", "Ga", "Ga", "Ga", "Ga", "Ga", "Ga", "Ga", "Ga", "Ga", "Ga", "Ga", "Ga", "Ga", "Ga", "Ga", "Ga", "Ga", "Ga", "Ga", "Ga", "Ga", "Ga", "Ga", "Ga", "Ga", "Ga", "Ga", "Ga", "Ga", "Ga", "Ga", "Ga", "Ga", "Ga", "Hg", "Hg", "Hg", "Hg", "Hg", "Hg", "Hg", "Hg", "Hg", "Hg", "Hg", "Hg", "Hg", "Hg", "Hg", "Hg", "Hg", "Hg", "Hg", "Hg"],
  "frac_coords": [[0.125, 0.250, 0.375], [0.125, 0.375, 0.750], [0.250, 0.375, 0.125], [0.250, 0.875, 0.625], [0.375, 0.125, 0.250], [0.375, 0.750, 0.125], [0.625, 0.250, 0.875], [0.625, 0.875, 0.750], [0.750, 0.125, 0.375], [0.750, 0.625, 0.875], [0.875, 0.625, 0.250], [0.875, 0.750, 0.625], [0.063, 0.638, 0.398], [0.063, 0.925, 0.664], [0.075, 0.240, 0.138], [0.075, 0.336, 0.937], [0.102, 0.740, 0.664], [0.102, 0.862, 0.437], [0.138, 0.075, 0.240], [0.138, 0.563, 0.898], [0.164, 0.240, 0.602], [0.164, 0.425, 0.563], [0.240, 0.138, 0.075], [0.240, 0.602, 0.164], [0.260, 0.336, 0.898], [0.260, 0.425, 0.362], [0.336, 0.898, 0.260], [0.336, 0.937, 0.075], [0.362, 0.260, 0.425], [0.362, 0.602, 0.937], [0.398, 0.063, 0.638], [0.398, 0.836, 0.760], [0.425, 0.362, 0.260], [0.425, 0.563, 0.164], [0.437, 0.102, 0.862], [0.437, 0.836, 0.575], [0.563, 0.164, 0.425], [0.563, 0.898, 0.138], [0.575, 0.437, 0.836], [0.575, 0.638, 0.740], [0.602, 0.164, 0.240], [0.602, 0.937, 0.362], [0.638, 0.398, 0.063], [0.638, 0.740, 0.575], [0.664, 0.063, 0.925], [0.664, 0.102, 0.740], [0.740, 0.575, 0.638], [0.740, 0.664, 0.102], [0.760, 0.398, 0.836], [0.760, 0.862, 0.925], [0.836, 0.575, 0.437], [0.836, 0.760, 0.398], [0.862, 0.437, 0.102], [0.862, 0.925, 0.760], [0.898, 0.138, 0.563], [0.898, 0.260, 0.336], [0.925, 0.664, 0.063], [0.925, 0.760, 0.862], [0.937, 0.075, 0.336], [0.937, 0.362, 0.602], [0.000, 0.000, 0.000], [0.000, 0.000, 0.500], [0.000, 0.500, 0.000], [0.000, 0.500, 0.500], [0.125, 0.750, 0.875], [0.125, 0.875, 0.250], [0.250, 0.125, 0.875], [0.250, 0.625, 0.375], [0.375, 0.250, 0.625], [0.375, 0.625, 0.750], [0.500, 0.000, 0.000], [0.500, 0.000, 0.500], [0.500, 0.500, 0.000], [0.500, 0.500, 0.500], [0.625, 0.375, 0.250], [0.625, 0.750, 0.375], [0.750, 0.375, 0.625], [0.750, 0.875, 0.125], [0.875, 0.125, 0.750], [0.875, 0.250, 0.125]],
  "space_group": "Ia-3d, No. 230",
  "e_form_ev_per_atom": 0.157,
  "dos_ef_per_ev_cell": 42.25
}

---

8.
{
  "formula": "KTa2Ni",
  "functional": "PBE",
  "state": "relaxed",
  "lattice_angstrom": [[2.842, 0.000, 0.000], [0.000, 3.714, 0.000], [0.000, 0.000, 8.717]],
  "species": ["K", "Ta", "Ta", "Ni"],
  "frac_coords": [[0.000, 0.000, 0.000], [0.500, 0.500, 0.354], [0.500, 0.500, 0.646], [0.000, 0.000, 0.500]],
  "space_group": "Pmmm, No. 47",
  "e_form_ev_per_atom": 0.715,
  "dos_ef_per_ev_cell": 4.73,
  "e_above_lowest_polymorph_ev_per_fu": 0.87
}

---

9.
{
  "formula": "SrAlAsN2",
  "functional": "PBE",
  "state": "relaxed",
  "lattice_angstrom": [[4.265, 0.000, 0.000], [0.000, 4.265, 0.000], [0.000, 0.000, 6.601]],
  "species": ["Sr", "Al", "As", "N", "N"],
  "frac_coords": [[0.000, 0.000, 0.000], [0.000, 0.000, 0.500], [0.500, 0.500, 0.500], [0.000, 0.500, 0.000], [0.500, 0.000, 0.000]],
  "space_group": "P4/mmm, No. 123",
  "e_form_raw_ev_per_fu": 9.7,
  "dos_ef_per_ev_cell": 4.72
}

---

10.
{
  "formula": "Er6Si11N20O",
  "functional": "PBE",
  "state": "relaxed",
  "lattice_angstrom": [[9.806, 0.000, 0.000], [-4.903, 8.492, 0.000], [0.000, 0.000, 10.681]],
  "species": ["Er", "Er", "Er", "Er", "Er", "Er", "Er", "Er", "Er", "Er", "Er", "Er", "Si", "Si", "Si", "Si", "Si", "Si", "Si", "Si", "Si", "Si", "Si", "Si", "Si", "Si", "Si", "Si", "Si", "Si", "Si", "Si", "Si", "Si", "N", "N", "N", "N", "N", "N", "N", "N", "N", "N", "N", "N", "N", "N", "N", "N", "N", "N", "N", "N", "N", "N", "N", "N", "N", "N", "N", "N", "N", "N", "N", "N", "N", "N", "N", "N", "N", "N", "N", "N", "O", "O"],
  "frac_coords": [[0.128, 0.263, 0.000], [0.135, 0.872, 0.000], [0.197, 0.798, 0.325], [0.202, 0.399, 0.325], [0.263, 0.128, 0.500], [0.399, 0.202, 0.825], [0.601, 0.803, 0.325], [0.737, 0.865, 0.000], [0.798, 0.197, 0.825], [0.803, 0.601, 0.825], [0.865, 0.737, 0.500], [0.872, 0.135, 0.500], [0.000, 0.000, 0.260], [0.000, 0.000, 0.760], [0.009, 0.536, 0.570], [0.131, 0.574, 0.831], [0.157, 0.340, 0.682], [0.183, 0.843, 0.682], [0.333, 0.667, 0.137], [0.340, 0.157, 0.182], [0.426, 0.558, 0.831], [0.442, 0.869, 0.831], [0.464, 0.473, 0.570], [0.473, 0.464, 0.070], [0.527, 0.991, 0.570], [0.536, 0.009, 0.070], [0.558, 0.426, 0.331], [0.574, 0.131, 0.331], [0.660, 0.817, 0.682], [0.667, 0.333, 0.637], [0.817, 0.660, 0.182], [0.843, 0.183, 0.182], [0.869, 0.442, 0.331], [0.991, 0.527, 0.070], [0.000, 0.000, 0.424], [0.000, 0.000, 0.924], [0.009, 0.431, 0.938], [0.016, 0.176, 0.203], [0.088, 0.724, 0.812], [0.092, 0.477, 0.688], [0.108, 0.743, 0.540], [0.161, 0.984, 0.203], [0.172, 0.686, 0.115], [0.176, 0.016, 0.703], [0.257, 0.365, 0.540], [0.276, 0.364, 0.812], [0.314, 0.486, 0.115], [0.333, 0.667, 0.863], [0.364, 0.276, 0.312], [0.365, 0.257, 0.040], [0.385, 0.908, 0.688], [0.422, 0.991, 0.938], [0.431, 0.009, 0.438], [0.477, 0.092, 0.188], [0.486, 0.314, 0.615], [0.514, 0.828, 0.115], [0.523, 0.615, 0.688], [0.569, 0.578, 0.938], [0.578, 0.569, 0.438], [0.615, 0.523, 0.188], [0.635, 0.892, 0.540], [0.636, 0.912, 0.812], [0.667, 0.333, 0.363], [0.686, 0.172, 0.615], [0.724, 0.088, 0.312], [0.743, 0.108, 0.040], [0.824, 0.839, 0.203], [0.828, 0.514, 0.615], [0.839, 0.824, 0.703], [0.892, 0.635, 0.040], [0.908, 0.385, 0.188], [0.912, 0.636, 0.312], [0.984, 0.161, 0.703], [0.991, 0.422, 0.438], [0.333, 0.667, 0.306], [0.667, 0.333, 0.806]],
  "space_group": "P31c, No. 159",
  "e_form_raw_ev_per_fu": -55.1,
  "dos_ef_per_ev_cell": 0.00
}

---

11.
{
  "formula": "SmAs2Pd3",
  "functional": "PBE",
  "state": "relaxed",
  "lattice_angstrom": [[8.376, -2.064, 0.000], [8.376, 2.064, 0.000], [-3.090, 0.000, 9.589]],
  "species": ["Sm", "Sm", "Sm", "As", "As", "As", "As", "As", "As", "Pd", "Pd", "Pd", "Pd", "Pd", "Pd", "Pd", "Pd", "Pd"],
  "frac_coords": [[0.000, 0.000, 0.000], [0.153, 0.153, 0.698], [0.847, 0.847, 0.302], [0.199, 0.199, 0.132], [0.363, 0.363, 0.546], [0.461, 0.461, 0.212], [0.539, 0.539, 0.788], [0.637, 0.637, 0.454], [0.801, 0.801, 0.868], [0.041, 0.041, 0.332], [0.220, 0.220, 0.390], [0.320, 0.320, 0.034], [0.378, 0.378, 0.801], [0.500, 0.500, 0.500], [0.622, 0.622, 0.199], [0.680, 0.680, 0.966], [0.780, 0.780, 0.610], [0.959, 0.959, 0.668]],
  "space_group": "C2/m, No. 12",
  "e_form_ev_per_atom": -0.807,
  "dos_ef_per_ev_cell": 9.31
}

---

12.
{
  "formula": "BeReBr2",
  "functional": "PBE",
  "state": "relaxed",
  "lattice_angstrom": [[-1.842, 1.842, 6.004], [1.842, -1.842, 6.004], [1.842, 1.842, -6.004]],
  "species": ["Be", "Re", "Br", "Br"],
  "frac_coords": [[0.000, 0.000, 0.000], [0.750, 0.250, 0.500], [0.250, 0.750, 0.500], [0.500, 0.500, 0.000]],
  "space_group": "I-4m2, No. 119",
  "e_form_raw_ev_per_fu": 5.7,
  "dos_ef_per_ev_cell": 2.53,
  "e_above_lowest_polymorph_ev_per_fu": 5.08
}

---

13.
{
  "formula": "GaNi2WN",
  "functional": "PBE",
  "state": "relaxed",
  "lattice_angstrom": [[3.826, 0.000, 0.000], [0.000, 3.826, 0.000], [0.000, 0.000, 4.065]],
  "species": ["Ga", "Ni", "Ni", "W", "N"],
  "frac_coords": [[0.000, 0.000, 0.000], [0.000, 0.500, 0.500], [0.500, 0.000, 0.500], [0.500, 0.500, 0.000], [0.500, 0.500, 0.500]],
  "space_group": "P4/mmm, No. 123",
  "e_form_raw_ev_per_fu": -0.6,
  "dos_ef_per_ev_cell": 0.79
}

---

14.
{
  "formula": "PmDy2Pb",
  "functional": "PBE",
  "state": "relaxed",
  "lattice_angstrom": [[3.632, 0.000, 0.000], [0.000, 3.632, 0.000], [0.000, 0.000, 9.385]],
  "species": ["Pm", "Dy", "Dy", "Pb"],
  "frac_coords": [[0.000, 0.000, 0.000], [0.500, 0.500, 0.269], [0.500, 0.500, 0.731], [0.000, 0.000, 0.500]],
  "space_group": "P4/mmm, No. 123",
  "e_form_ev_per_atom": -0.204,
  "dos_ef_per_ev_cell": 4.67,
  "e_above_lowest_polymorph_ev_per_fu": 0.36
}

---

15.
{
  "formula": "ScSbTe2N",
  "functional": "PBE",
  "state": "relaxed",
  "lattice_angstrom": [[5.764, 0.000, 0.000], [0.000, 5.764, 0.000], [0.000, 0.000, 3.978]],
  "species": ["Sc", "Sb", "Te", "Te", "N"],
  "frac_coords": [[0.000, 0.000, 0.000], [0.500, 0.500, 0.500], [0.000, 0.500, 0.500], [0.500, 0.000, 0.500], [0.500, 0.500, 0.000]],
  "space_group": "P4/mmm, No. 123",
  "e_form_raw_ev_per_fu": 2.3,
  "dos_ef_per_ev_cell": 3.93,
  "e_above_lowest_polymorph_ev_per_fu": 1.73
}

---

16.
{
  "formula": "CsBeSe2Br",
  "functional": "PBE",
  "state": "relaxed",
  "lattice_angstrom": [[6.041, 0.000, 0.000], [0.000, 6.041, 0.000], [0.000, 0.000, 6.736]],
  "species": ["Cs", "Be", "Se", "Se", "Br"],
  "frac_coords": [[0.000, 0.000, 0.000], [0.500, 0.500, 0.500], [0.000, 0.500, 0.000], [0.500, 0.000, 0.000], [0.000, 0.000, 0.500]],
  "space_group": "P4/mmm, No. 123",
  "e_form_raw_ev_per_fu": 5.9,
  "dos_ef_per_ev_cell": 8.13,
  "e_above_lowest_polymorph_ev_per_fu": 8.18
}